Entry from the Alexandria database: an optimized crystal structure of Dy12Tm5Sn3 (PBE-GGA).

Uncorrected energy (eV per atom): -3.773

Structure (CIF):
```
data_Dy12Tm5Sn3
_chemical_formula_sum 'Dy96 Tm40 Sn24'
_cell_length_a 18.3157
_cell_length_b 18.3157
_cell_length_c 18.3157
_cell_angle_alpha 90.00
_cell_angle_beta 90.00
_cell_angle_gamma 90.00
_symmetry_space_group_name_H-M 'I a -3 d'
_symmetry_Int_Tables_number 230
_symmetry_space_group_name_Hall '-I 4bd 2c 3'
loop_
_atom_site_label
_atom_site_fract_x
_atom_site_fract_y
_atom_site_fract_z
_atom_site_occupancy
Dy1 0.0037 0.0806 0.6509 1
Tm1 0.0000 0.0000 0.0000 1
Tm2 0.0000 0.2500 0.3750 1
Sn1 0.0000 0.2500 0.1250 1
```

---

Entry from the Alexandria database: an optimized crystal structure of DyTm5Sn6 (PBE-GGA).

Uncorrected energy (eV per atom): -4.835

Structure (CIF):
```
data_DyTm5Sn6
_chemical_formula_sum 'Dy2 Tm10 Sn12'
_cell_length_a 5.6359
_cell_length_b 13.8781
_cell_length_c 8.4600
_cell_angle_alpha 90.00
_cell_angle_beta 102.07
_cell_angle_gamma 90.00
_symmetry_space_group_name_H-M 'C 1 2/m 1'
_symmetry_Int_Tables_number 12
loop_
_symmetry_equiv_pos_as_xyz
'x,y,z'
'-x,-y,-z'
'-x,y,-z'
'x,-y,z'
'x+1/2,y+1/2,z'
'-x+1/2,-y+1/2,-z'
'-x+1/2,y+1/2,-z'
'x+1/2,-y+1/2,z'
loop_
_atom_site_label
_atom_site_fract_x
_atom_site_fract_y
_atom_site_fract_z
_atom_site_occupancy
Dy1 0.0000 0.0000 0.0000 1
Tm1 0.0000 0.0000 0.5000 1
Tm2 0.0000 0.3319 0.0000 1
Tm3 0.0000 0.3348 0.5000 1
Sn1 0.0015 0.1675 0.7479 1
Sn2 0.0075 0.5000 0.2484 1
```

---

Entry from the Alexandria database: an optimized crystal structure of DyTm3Sn2 (PBE-GGA).

Uncorrected energy (eV per atom): -4.806

Structure (CIF):
```
data_DyTm3Sn2
_chemical_formula_sum 'Dy4 Tm12 Sn8'
_cell_length_a 17.7168
_cell_length_b 4.4907
_cell_length_c 9.4142
_cell_angle_alpha 90.00
_cell_angle_beta 113.32
_cell_angle_gamma 90.00
_symmetry_space_group_name_H-M 'C 1 2/m 1'
_symmetry_Int_Tables_number 12
loop_
_symmetry_equiv_pos_as_xyz
'x,y,z'
'-x,-y,-z'
'-x,y,-z'
'x,-y,z'
'x+1/2,y+1/2,z'
'-x+1/2,-y+1/2,-z'
'-x+1/2,y+1/2,-z'
'x+1/2,-y+1/2,z'
loop_
_atom_site_label
_atom_site_fract_x
_atom_site_fract_y
_atom_site_fract_z
_atom_site_occupancy
Dy1 0.1137 0.0000 0.1264 1
Tm1 0.0557 0.0000 0.6888 1
Tm2 0.1454 0.5000 0.4838 1
Tm3 0.1917 0.5000 0.8905 1
Sn1 0.0079 0.5000 0.8518 1
Sn2 0.2459 0.0000 0.7176 1
```

---

Entry from the Alexandria database: an optimized crystal structure of DyTmSn (PBE-GGA).

Uncorrected energy (eV per atom): -4.700
ΔE to the lowest computed polymorph (meV/atom): 240

Structure (CIF):
```
data_DyTmSn
_chemical_formula_sum 'Dy1 Tm1 Sn1'
_cell_length_a 5.0913
_cell_length_b 5.0913
_cell_length_c 3.7845
_cell_angle_alpha 90.00
_cell_angle_beta 90.00
_cell_angle_gamma 120.00
_symmetry_space_group_name_H-M 'P 3 m 1'
_symmetry_Int_Tables_number 156
loop_
_symmetry_equiv_pos_as_xyz
'x,y,z'
'-y,x-y,z'
'-x+y,-x,z'
'-y,-x,z'
'-x+y,y,z'
'x,x-y,z'
loop_
_atom_site_label
_atom_site_fract_x
_atom_site_fract_y
_atom_site_fract_z
_atom_site_occupancy
Dy1 0.0000 0.0000 0.0000 1
Tm1 0.6667 0.3333 0.4484 1
Sn1 0.3333 0.6667 0.6945 1
```

---

no.,calculated density (Mg/m³)
1,6.81
2,8.82
3,8.76
4,8.80